## 1
A plane-wave DFT calculation with PBE-GGA was carried out for ScBeSn3 after structural relaxation.

Cell lengths 4.9357, 4.9357, 4.9357 Å; angles 90.00, 90.00, 90.00 degrees
Element x y z (fractional)
Sc (0.5000, 0.5000, 0.5000)
Be (0.0000, 0.0000, 0.0000)
Sn (0.0000, 0.5000, 0.0000)
Sn (0.0000, 0.0000, 0.5000)
Sn (0.5000, 0.0000, 0.0000)

Output
DOS(E_F)   3.2 states/eV per cell
M_tot   0.000 μB/atom

---

## 2
A plane-wave DFT calculation with PBE-GGA was carried out for ScBeSn3 after structural relaxation.

Cell lengths 5.5146, 5.5146, 5.5146 Å; angles 90.00, 90.00, 90.00 degrees
Element x y z (fractional)
Sc (0.0000, 0.0000, 0.0000)
Be (0.5000, 0.5000, 0.5000)
Sn (0.0000, 0.5000, 0.0000)
Sn (0.0000, 0.0000, 0.5000)
Sn (0.5000, 0.0000, 0.0000)

Output
DOS(E_F)   6.0 states/eV per cell
M_tot   0.000 μB/atom

---

Which one sits at the top of the stability order? 1 does.

---

## 1
A plane-wave DFT calculation with PBE-GGA was carried out for SrScBe after structural relaxation.

Cell lengths 4.8992, 4.8992, 4.8992 Å; angles 60.00, 60.00, 60.00 degrees
Element x y z (fractional)
Sc (0.5000, 0.5000, 0.5000)
Sr (0.2500, 0.2500, 0.2500)
Be (0.0000, 0.0000, 0.0000)

Output
DOS(E_F)   4.0 states/eV per cell
M_tot   0.000 μB/atom

---

## 2
A plane-wave DFT calculation with PBE-GGA was carried out for SrScBe after structural relaxation.

Cell lengths 3.6763, 3.6763, 7.1092 Å; angles 90.00, 90.00, 120.00 degrees
Element x y z (fractional)
Sc (0.6667, 0.3333, 0.2547)
Sr (0.3333, 0.6667, 0.7151)
Be (0.0000, 0.0000, 0.0301)

Output
DOS(E_F)   4.3 states/eV per cell
M_tot   0.000 μB/atom

---

Which one sits at the top of the stability order? 2 does.

---

## 1
A plane-wave DFT calculation with PBE-GGA was carried out for SrScBe3 after structural relaxation.

Cell lengths 4.8578, 4.8578, 4.8578 Å; angles 90.00, 90.00, 90.00 degrees
Element x y z (fractional)
Sc (0.5000, 0.5000, 0.5000)
Sr (0.0000, 0.0000, 0.0000)
Be (0.0000, 0.5000, 0.0000)
Be (0.0000, 0.0000, 0.5000)
Be (0.5000, 0.0000, 0.0000)

Output
DOS(E_F)   3.8 states/eV per cell
M_tot   0.000 μB/atom

---

## 2
A plane-wave DFT calculation with PBE-GGA was carried out for SrScBe3 after structural relaxation.

Cell lengths 4.9381, 4.9381, 4.9381 Å; angles 90.00, 90.00, 90.00 degrees
Element x y z (fractional)
Sc (0.0000, 0.0000, 0.0000)
Sr (0.5000, 0.5000, 0.5000)
Be (0.0000, 0.5000, 0.0000)
Be (0.0000, 0.0000, 0.5000)
Be (0.5000, 0.0000, 0.0000)

Output
DOS(E_F)   8.8 states/eV per cell
M_tot   0.000 μB/atom

---

Which one sits at the top of the stability order? 2 does.

---

## 1
A plane-wave DFT calculation with PBE-GGA was carried out for ScTaBe3 after structural relaxation.

Cell lengths 4.1880, 4.1880, 4.1880 Å; angles 90.00, 90.00, 90.00 degrees
Site moments in Bohr magnetons follow the coordinates.
Element x y z (fractional)
Sc (0.0000, 0.0000, 0.0000)  1.24
Be (0.0000, 0.5000, 0.0000)  0.21
Be (0.0000, 0.0000, 0.5000)  0.14
Be (0.5000, 0.0000, 0.0000)  0.29
Ta (0.5000, 0.5000, 0.5000)  -0.16

Output
DOS(E_F)   1.0 states/eV per cell
M_tot   0.392 μB/atom

---

## 2
A plane-wave DFT calculation with PBE-GGA was carried out for ScTaBe3 after structural relaxation.

Cell lengths 4.4228, 4.4228, 4.4228 Å; angles 90.00, 90.00, 90.00 degrees
Element x y z (fractional)
Sc (0.5000, 0.5000, 0.5000)
Be (0.0000, 0.5000, 0.0000)
Be (0.0000, 0.0000, 0.5000)
Be (0.5000, 0.0000, 0.0000)
Ta (0.0000, 0.0000, 0.0000)

Output
DOS(E_F)   5.0 states/eV per cell
M_tot   0.000 μB/atom

---

Which one sits at the top of the stability order? 2 does.

---

## 1
A plane-wave DFT calculation with PBE-GGA was carried out for Sc3TaBe after structural relaxation.

Cell lengths 5.0837, 5.0837, 5.0837 Å; angles 90.00, 90.00, 90.00 degrees
Element x y z (fractional)
Sc (0.0000, 0.5000, 0.0000)
Sc (0.0000, 0.0000, 0.5000)
Sc (0.5000, 0.0000, 0.0000)
Be (0.5000, 0.5000, 0.5000)
Ta (0.0000, 0.0000, 0.0000)

Output
DOS(E_F)   6.8 states/eV per cell
M_tot   0.000 μB/atom

---

## 2
A plane-wave DFT calculation with PBE-GGA was carried out for Sc3TaBe after structural relaxation.

Cell lengths 4.7392, 4.7392, 4.7392 Å; angles 90.00, 90.00, 90.00 degrees
Element x y z (fractional)
Sc (0.0000, 0.5000, 0.0000)
Sc (0.0000, 0.0000, 0.5000)
Sc (0.5000, 0.0000, 0.0000)
Be (0.0000, 0.0000, 0.0000)
Ta (0.5000, 0.5000, 0.5000)

Output
DOS(E_F)   8.3 states/eV per cell
M_tot   0.000 μB/atom

---

Which one sits at the top of the stability order? 2 does.

---

## 1
A plane-wave DFT calculation with PBE-GGA was carried out for TbSc2Be after structural relaxation.

Cell lengths 3.2388, 3.2388, 11.0320 Å; angles 81.56, 81.56, 60.00 degrees
Element x y z (fractional)
Sc (0.0833, 0.0833, 0.7500)
Sc (0.9167, 0.9167, 0.2500)
Be (0.0000, 0.0000, 0.0000)
Tb (0.5000, 0.5000, 0.5000)

Output
DOS(E_F)   5.1 states/eV per cell
M_tot   0.000 μB/atom

---

## 2
A plane-wave DFT calculation with PBE-GGA was carried out for TbSc2Be after structural relaxation.

Cell lengths 3.2421, 3.2421, 8.3524 Å; angles 90.00, 90.00, 90.00 degrees
Element x y z (fractional)
Sc (0.0000, 0.0000, 0.8148)
Sc (0.0000, 0.0000, 0.1852)
Be (0.5000, 0.5000, 0.0000)
Tb (0.5000, 0.5000, 0.5000)

Output
DOS(E_F)   4.0 states/eV per cell
M_tot   0.000 μB/atom

---

Which one sits at the top of the stability order? 2 does.